Computed, not measured: an optimized crystal structure of PbSe at the PBEsol level of DFT.

Structure (extended XYZ):
```
4
Lattice="4.223 0.000 0.000 0.000 4.416 0.009 -2.112 -0.016 5.876" Properties=species:S:1:pos:R:3 pbc="T T T"
Se 0.000 1.098 1.566
Se 2.112 3.302 4.319
Pb 2.112 3.307 1.499
Pb 0.000 1.093 4.386
```

Computed, not measured: an optimized crystal structure of PbSe at the PBEsol level of DFT.

Structure (extended XYZ):
```
4
Lattice="-3.953 -1.680 0.389 1.227 -3.426 -2.313 3.174 -0.454 6.378" Properties=species:S:1:pos:R:3 pbc="T T T"
Pb 0.467 -0.834 1.550
Pb -0.106 -4.697 2.949
Se 1.250 -2.133 3.892
Se -0.890 -3.396 0.609
```

Computed, not measured: an optimized crystal structure of PbSe2 at the PBEsol level of DFT.

Structure (extended XYZ):
```
6
Lattice="5.929 0.010 0.015 -2.516 5.369 -0.015 -2.516 -2.176 4.908" Properties=species:S:1:pos:R:3 pbc="T T T"
Se -0.809 3.285 3.100
Se 2.613 3.116 0.653
Se 1.707 -0.082 1.808
Se -1.715 0.087 4.255
Pb -3.773 2.395 3.670
Pb -1.258 0.798 1.223
```

Computed, not measured: an optimized crystal structure of PbSe2 at the PBEsol level of DFT.

Structure (extended XYZ):
```
6
Lattice="4.424 0.000 0.000 -2.212 5.036 0.000 0.000 -2.887 7.892" Properties=species:S:1:pos:R:3 pbc="T T T"
Pb 0.000 1.439 1.802
Pb 2.212 0.710 6.091
Se 0.000 -0.284 4.211
Se 0.000 4.603 1.111
Se 2.212 -2.453 6.781
Se 2.212 2.434 3.681
```

Computed, not measured: an optimized crystal structure of PbSe at the PBEsol level of DFT.

Structure (extended XYZ):
```
4
Lattice="-2.445 -1.009 3.193 -1.298 -3.911 0.462 5.251 -3.269 5.680" Properties=species:S:1:pos:R:3 pbc="T T T"
Se 3.012 -4.661 6.218
Se -1.505 -3.528 3.117
Pb 3.076 -2.724 4.187
Pb -1.569 -5.465 5.148
```

Computed, not measured: an optimized crystal structure of PbSe2 at the PBEsol level of DFT.

Structure (extended XYZ):
```
6
Lattice="4.438 0.000 0.000 0.000 5.644 0.000 0.000 0.000 7.351" Properties=species:S:1:pos:R:3 pbc="T T T"
Pb 0.000 0.000 0.000
Pb 2.219 2.822 3.675
Se 0.000 4.759 2.884
Se 0.000 0.885 4.467
Se 2.219 3.707 6.559
Se 2.219 1.937 0.791
```

The records above yield calculated density values of 8.7 7.9 7.8 6.9 7.9 6.6 g/cm3, respectively.
The records above yield raw total energy values of -4.414 -4.362 -4.216 -4.145 -4.232 -4.140 eV/atom, respectively.